1.
The following is a PBEsol calculation of BaHgPb2 after structural relaxation, from Alexandria via LeMat-Bulk.

Formation energy = -0.243 eV/atom
Symmetry = No. 225

```
BaHgPb2
1.0
5.559 0.000 0.000
2.780 4.814 0.000
2.780 1.605 4.539
Pb Hg Ba
2 1 1
Direct
0.250 0.250 0.250
0.750 0.750 0.750
0.500 0.500 0.500
0.000 0.000 0.000
```

2.
The following is a PBEsol calculation of Cs3DyCl6 after structural relaxation, from Alexandria via LeMat-Bulk.

Formation energy from raw total energies = -48.563 kcal/mol of atoms
Symmetry = No. 225

```
Cs3DyCl6
1.0
8.210 0.000 0.000
4.105 7.110 0.000
4.105 2.370 6.703
Cl Cs Dy
6 3 1
Direct
0.776 0.776 0.224
0.776 0.224 0.776
0.224 0.776 0.224
0.224 0.776 0.776
0.776 0.224 0.224
0.224 0.224 0.776
0.500 0.500 0.500
0.750 0.750 0.750
0.250 0.250 0.250
0.000 0.000 0.000
```

3.
The following is a PBEsol calculation of CdSb2 after structural relaxation, from Alexandria via LeMat-Bulk.

Formation energy from raw total energies = 3.952 kcal/mol of atoms
Symmetry = No. 189

```
CdSb2
1.0
4.052 0.000 0.000
0.000 8.161 0.000
0.000 -4.081 7.068
Sb Cd
6 3
Direct
0.500 0.563 0.000
0.000 0.000 0.279
0.000 0.279 0.000
0.500 0.000 0.563
0.000 0.721 0.721
0.500 0.437 0.437
0.500 0.000 0.000
0.000 0.333 0.667
0.000 0.667 0.333
```

Quick rundown of uncorrected energy, same order as above: -2.921; -4.091; -3.266 eV/atom